No. 1
# Li2Al3Zn3 (PBE, optimized geometry)
# - total energy (eV/atom) = -2.474
# - DOS(E_F) (states/eV per cell) = 2.925
# - energy above the lowest structure with this stoichiometry (meV/atom) = 0.0
# - energy relative to the elements (kcal/mol of atoms) = -2.6
data_Li2Al3Zn3
_symmetry_space_group_name_H-M 'P m m m'
_symmetry_Int_Tables_number 47
_cell_length_a 3.968
_cell_length_b 3.972
_cell_length_c 7.875
_cell_angle_alpha 90.00
_cell_angle_beta 90.00
_cell_angle_gamma 90.00
loop_
_symmetry_equiv_pos_as_xyz
'x,y,z'
'-x,-y,-z'
'-x,-y,z'
'x,y,-z'
'x,-y,-z'
'-x,y,z'
'-x,y,-z'
'x,-y,z'
loop_
_atom_site_label
_atom_site_type_symbol
_atom_site_fract_x
_atom_site_fract_y
_atom_site_fract_z
_atom_site_occupancy
Li1 Li 0.000 0.000 0.245 1
Al1 Al 0.500 0.000 0.500 1
Al2 Al 0.500 0.500 0.246 1
Zn1 Zn 0.000 0.500 0.000 1
Zn2 Zn 0.000 0.500 0.500 1
Zn3 Zn 0.500 0.000 0.000 1


No. 2
# LiAlZn2 (PBE, optimized geometry)
# - total energy (eV/atom) = -2.136
# - DOS(E_F) (states/eV per cell) = 1.248
# - energy relative to the elements (kcal/mol of atoms) = -2.0
data_LiAlZn2
_symmetry_space_group_name_H-M 'P m m 2'
_symmetry_Int_Tables_number 25
_cell_length_a 2.902
_cell_length_b 3.913
_cell_length_c 5.412
_cell_angle_alpha 90.00
_cell_angle_beta 90.00
_cell_angle_gamma 90.00
loop_
_symmetry_equiv_pos_as_xyz
'x,y,z'
'-x,-y,z'
'-x,y,z'
'x,-y,z'
loop_
_atom_site_label
_atom_site_type_symbol
_atom_site_fract_x
_atom_site_fract_y
_atom_site_fract_z
_atom_site_occupancy
Li1 Li 0.000 0.000 0.000 1
Al1 Al 0.500 0.500 0.738 1
Zn1 Zn 0.000 0.000 0.498 1
Zn2 Zn 0.500 0.500 0.237 1